# PBE+U Ti3MnV2P6O24, optimized geometry
# Electronic total energy = -0.289 Ha/atom
data_Ti3MnV2P6O24
_cell_length_a 8.6930
_cell_length_b 8.6930
_cell_length_c 20.9873
_cell_angle_alpha 90.00
_cell_angle_beta 90.00
_cell_angle_gamma 120.00
_space_group_name_H-M_alt 'R 3'
_space_group_IT_number 146
_space_group_name_Hall 'R 3'
loop_
_atom_site_label
_atom_site_fract_x
_atom_site_fract_y
_atom_site_fract_z
Ti1 0.0000 0.0000 0.0000
Ti2 0.0000 0.0000 0.2098
Ti3 0.0000 0.0000 0.5032
Mn1 0.0000 0.0000 0.7122
V1 0.0000 0.0000 0.3545
V2 0.0000 0.0000 0.8561
P1 0.0008 0.2984 0.6077
P2 0.0058 0.7108 0.1067
O1 0.0008 0.8109 0.0458
O2 0.0029 0.1749 0.2743
O3 0.0291 0.8288 0.7856
O4 0.0335 0.8342 0.1640
O5 0.1223 0.4522 0.3361
O6 0.1471 0.4787 0.2153
O7 0.1717 0.4844 0.5988
O8 0.1719 0.6875 0.0997